Ca2InP: optimized geometry, PBE-GGA.

Summary:
SG = I-42d
ΔE to the lowest computed polymorph = 216 meV per atom

Lattice parameters (Å, degrees): 8.1955 8.1955 6.7711 52.76 52.76 90.00
Last column: nearest neighbours and their distance in Å.
Sites, in units of the cell vectors:
In (0.0000, 0.0000, 0.0000)  8 Ca 3.34-3.70, 2 P 3.50
In (0.7500, 0.2500, 0.5000)  8 Ca 3.34-3.70, 2 P 3.50
P (0.2500, 0.7500, 0.5000)  4 Ca 2.75
P (0.5000, 0.5000, 0.0000)  4 Ca 2.75
Ca (0.1787, 0.6250, 0.2500)  2 P 2.75
Ca (0.5713, 0.1250, 0.2500)  2 P 2.75
Ca (0.3750, 0.4287, 0.7500)  2 P 2.75
Ca (0.8750, 0.8213, 0.7500)  2 P 2.75

CaCeTlAu: optimized geometry, PBE-GGA.

Summary:
SG = F-43m
ΔE to the lowest computed polymorph = 22 meV per atom

Lattice parameters (Å, degrees): 5.3435 5.3435 5.3435 60.00 60.00 60.00
Last column: nearest neighbours and their distance in Å.
Sites, in units of the cell vectors:
Ce (0.7500, 0.7500, 0.7500)  4 Tl 3.27, 4 Au 3.27
Tl (0.5000, 0.5000, 0.5000)  4 Ce 3.27, 4 Ca 3.27
Au (0.0000, 0.0000, 0.0000)  4 Ce 3.27, 4 Ca 3.27
Ca (0.2500, 0.2500, 0.2500)  4 Tl 3.27, 4 Au 3.27

Ac2TcSn: optimized geometry, PBE-GGA.

Summary:
SG = R-3m
Uncorrected energy = -4.96 eV per atom

Lattice parameters (Å, degrees): 3.6410 3.6410 11.1005 80.56 80.56 60.00
Last column: nearest neighbours and their distance in Å.
Sites, in units of the cell vectors:
Tc (0.0000, 0.0000, 0.0000)  2 Ac 2.65
Ac (0.9191, 0.9191, 0.2428)  1 Tc 2.65
Ac (0.0809, 0.0809, 0.7572)  1 Tc 2.65
Sn (0.5000, 0.5000, 0.5000)  6 Ac 3.50, 6 Sn 3.64

Number 1: Fermi-level density of states 0.38 states/eV per atom. Number 2: Fermi-level density of states 1.92 states/eV per atom. Number 3: Fermi-level density of states 1.63 states/eV per atom.